This record from Alexandria describes LiAcPmSe3 after structural relaxation. The functional is PBE. Values from VASP.

Results
Magnetic moment in Bohr magnetons per cell: 0.0
Density in Mg/m³: 6.3
V in Å³/atom: 27.190
Formation energy (no corrections) in meV per atom: -1736
DOS(E_F) in states/eV/f.u.: 2.5
Space-group type: P2_1/m (11)

Cell and atoms, written as Quantum ESPRESSO input:
```
&SYSTEM
  ibrav = 0, nat = 12, ntyp = 4
/
ATOMIC_SPECIES
Li 6.94 Li.upf
Ac 227.00 Ac.upf
Pm 145.00 Pm.upf
Se 78.96 Se.upf
CELL_PARAMETERS angstrom
8.801 0.000 0.000
0.000 4.177 0.000
-2.126 0.000 8.875
ATOMIC_POSITIONS crystal
Li 0.088 0.250 0.088
Li 0.912 0.750 0.912
Ac 0.186 0.250 0.727
Ac 0.814 0.750 0.273
Pm 0.338 0.750 0.342
Pm 0.662 0.250 0.658
Se 0.099 0.250 0.368
Se 0.209 0.750 0.005
Se 0.432 0.750 0.678
Se 0.568 0.250 0.322
Se 0.791 0.250 0.995
Se 0.901 0.750 0.632
```